1.
A plane-wave DFT calculation with PBE was carried out for a geometry-optimized Sr2TeBrCl structure. Values from VASP.

Calculated values
Energy = -4.03 eV per atom
Energy relative to the elements, uncorrected = -2.027 eV/atom

Cell and atoms, written as Quantum ESPRESSO input:
```
&SYSTEM
  ibrav = 0, nat = 10, ntyp = 4
/
ATOMIC_SPECIES
Te 127.60 Te.upf
Sr 87.62 Sr.upf
Cl 35.45 Cl.upf
Br 79.90 Br.upf
CELL_PARAMETERS angstrom
-0.457 0.203 -4.593
3.235 -8.185 1.640
-10.311 -0.698 0.996
ATOMIC_POSITIONS angstrom
Te -5.747 -3.565 -1.908
Te -1.786 -5.115 -0.048
Sr -4.920 -6.012 0.225
Sr 0.231 -5.646 -2.596
Sr -7.763 -3.035 0.639
Sr -2.613 -2.669 -2.181
Cl 0.463 -2.604 -2.485
Cl -7.996 -6.076 0.528
Br -2.289 -0.699 0.197
Br -5.244 -7.982 -2.153
```



2.
A plane-wave DFT calculation with PBE was carried out for a geometry-optimized NdZn6Rh2 structure. Values from VASP.

Calculated values
Energy = -3.22 eV per atom
Energy of formation from the pure elements = -1.89 eV per formula unit

Cell and atoms, written as Quantum ESPRESSO input:
```
&SYSTEM
  ibrav = 0, nat = 9, ntyp = 3
/
ATOMIC_SPECIES
Rh 102.91 Rh.upf
Zn 65.41 Zn.upf
Nd 144.24 Nd.upf
CELL_PARAMETERS angstrom
-0.223 1.140 -3.596
-6.889 1.772 -0.996
-2.374 6.771 0.309
ATOMIC_POSITIONS angstrom
Rh -3.475 3.325 -0.716
Rh -6.011 6.359 -3.568
Zn -5.089 7.726 -1.206
Zn -5.506 3.997 -2.362
Zn -3.981 5.686 -1.921
Zn -1.697 4.948 -2.297
Zn -4.397 1.958 -3.078
Zn -7.790 4.735 -1.986
Nd 0.000 0.000 0.000
```



3.
A plane-wave DFT calculation with PBE was carried out for a geometry-optimized FeSiBP structure. Values from VASP.

Calculated values
Energy = -6.55 eV per atom
Energy relative to the lowest polymorph listed for this composition = 43 meV per atom
Energy relative to the elements, uncorrected = -0.053 eV/atom

Cell and atoms, written as Quantum ESPRESSO input:
```
&SYSTEM
  ibrav = 0, nat = 8, ntyp = 4
/
ATOMIC_SPECIES
P 30.97 P.upf
Si 28.09 Si.upf
B 10.81 B.upf
Fe 55.84 Fe.upf
CELL_PARAMETERS angstrom
-3.579 -1.084 0.397
0.855 -2.110 1.948
-0.522 5.014 5.662
ATOMIC_POSITIONS angstrom
P -1.750 0.780 3.918
P -2.438 4.342 5.775
Si -0.163 -0.296 2.056
Si -0.852 3.266 3.913
B -0.932 1.819 2.380
B -0.766 3.271 6.185
Fe -2.635 0.608 1.816
Fe -2.469 2.060 5.621
```



4.
A plane-wave DFT calculation with PBE was carried out for a geometry-optimized Pm2SbTe4 structure. Values from VASP.

Calculated values
Energy = -4.66 eV per atom
Energy relative to the elements, uncorrected = -0.916 eV/atom

Cell and atoms, written as Quantum ESPRESSO input:
```
&SYSTEM
  ibrav = 0, nat = 7, ntyp = 3
/
ATOMIC_SPECIES
Te 127.60 Te.upf
Pm 145.00 Pm.upf
Sb 121.76 Sb.upf
CELL_PARAMETERS angstrom
-3.664 2.310 0.845
-3.334 -6.384 2.993
6.179 3.870 4.691
ATOMIC_POSITIONS angstrom
Te 0.784 3.647 4.953
Te -1.675 0.595 2.632
Te -1.603 -3.852 3.576
Te 0.856 -0.799 5.897
Pm 1.444 1.055 3.376
Pm -2.263 -1.260 5.153
Sb 0.000 0.000 0.000
```



5.
A plane-wave DFT calculation with PBE was carried out for a geometry-optimized In2TcMo structure. Values from VASP.

Calculated values
Energy = -6.18 eV per atom
Energy relative to the lowest polymorph listed for this composition = 333 meV per atom
Energy of formation from the pure elements = 1.93 eV per formula unit

Cell and atoms, written as Quantum ESPRESSO input:
```
&SYSTEM
  ibrav = 0, nat = 4, ntyp = 3
/
ATOMIC_SPECIES
Tc 98.00 Tc.upf
In 114.82 In.upf
Mo 95.94 Mo.upf
CELL_PARAMETERS angstrom
-3.722 -2.955 2.692
1.799 -2.634 4.434
-0.643 4.886 -2.355
ATOMIC_POSITIONS angstrom
Tc 0.097 -0.272 2.820
In -0.952 -2.766 3.526
In -0.010 -0.028 0.036
Mo -2.663 -0.432 1.950
```



6.
A plane-wave DFT calculation with PBE was carried out for a geometry-optimized RbNbTl2O6 structure. Values from VASP.

Calculated values
Energy = -6.01 eV per atom
Energy relative to the elements, uncorrected = -1.461 eV/atom

Cell and atoms, written as Quantum ESPRESSO input:
```
&SYSTEM
  ibrav = 0, nat = 20, ntyp = 4
/
ATOMIC_SPECIES
Nb 92.91 Nb.upf
O 16.00 O.upf
Tl 204.38 Tl.upf
Rb 85.47 Rb.upf
CELL_PARAMETERS angstrom
-6.853 0.290 -1.554
-1.097 -5.399 -6.085
-3.838 -3.484 6.364
ATOMIC_POSITIONS angstrom
Nb -5.027 -3.777 3.598
Nb -6.760 -4.815 -4.872
O -6.103 -3.062 2.256
O -2.353 -1.269 -1.641
O -5.684 -5.531 -3.530
O -3.103 -5.614 -0.659
O -9.435 -7.323 0.368
O -8.685 -2.978 -0.615
O -1.392 -4.105 -2.804
O -5.467 -7.847 -1.315
O -6.874 -5.228 0.130
O -6.321 -0.746 0.042
O -4.913 -3.364 -1.404
O -10.395 -4.488 1.530
Tl -6.550 -2.959 0.049
Tl -2.699 -3.401 -1.107
Tl -9.089 -5.191 -0.167
Tl -5.237 -5.634 -1.323
Rb -3.109 -5.118 -5.116
Rb -8.679 -3.475 3.842
```